Entry 1:
8
Lattice="4.0556 -0.1598 0.0000 -1.7719 6.5853 0.0000 0.0000 0.0000 10.5583" Properties=species:S:1:pos:R:3 comment="Ac2PmPt, optimized geometry, DFT GGA-PBE" relative_energy_mev_per_atom=35.1 n_ef_per_ev_cell=11.3 m_tot_mub_per_cell=0.0 crystal_system=orthorhombic formation_energy_kj_per_mol_fu=-219 dft_energy_ev_per_atom=-5.321 pbc="T T T"
Ac 0.0685 1.7859 4.5682
Ac 2.2151 4.6396 5.9901
Ac 2.2151 4.6396 9.8473
Ac 0.0685 1.7859 0.7109
Pm 0.2077 5.2832 2.6396
Pm 2.0759 1.1423 7.9187
Pt 2.1489 3.0426 2.6396
Pt 0.1347 3.3829 7.9187


Entry 2:
4
Lattice="4.1584 0.0000 0.0000 2.0792 3.6013 0.0000 2.0792 1.2004 9.9159" Properties=species:S:1:pos:R:3 comment="Ac2PmPt, optimized geometry, DFT GGA-PBE" relative_energy_mev_per_atom=115.4 n_ef_per_ev_cell=4.3 m_tot_mub_per_cell=0.0 crystal_system=trigonal formation_energy_kj_per_mol_fu=-188 dft_energy_ev_per_atom=-5.240 pbc="T T T"
Ac 2.0792 1.2004 1.8489
Ac 6.2376 3.6013 8.0670
Pt 0.0000 0.0000 0.0000
Pm 4.1584 2.4009 4.9580


Entry 3:
3
Lattice="-3.8782 2.1209 2.6679 0.2093 0.1817 5.1555 0.6852 4.5207 2.3980" Properties=species:S:1:pos:R:3 comment="AcPmPt, optimized geometry, DFT GGA-PBE" relative_energy_mev_per_atom=117.1 n_ef_per_ev_cell=3.7 m_tot_mub_per_cell=0.0 crystal_system=cubic formation_energy_kj_per_mol_fu=-192 dft_energy_ev_per_atom=-5.631 pbc="T T T"
Ac 0.0000 0.0000 0.0000
Pt -0.7459 1.7058 2.5554
Pm -1.4918 3.4116 5.1107


Entry 4:
5
Lattice="5.9622 0.0000 0.0000 0.0000 5.9622 0.0000 0.0000 0.0000 5.9622" Properties=species:S:1:pos:R:3 comment="Ac3PmPt, optimized geometry, DFT GGA-PBE" n_ef_per_ev_cell=10.3 m_tot_mub_per_cell=1.1 crystal_system=cubic formation_energy_kj_per_mol_fu=-142 dft_energy_ev_per_atom=-4.918 pbc="T T T"
Ac 0.0000 2.9811 0.0000
Ac 0.0000 0.0000 2.9811
Ac 2.9811 0.0000 0.0000
Pt 0.0000 0.0000 0.0000
Pm 2.9811 2.9811 2.9811